PBE with a Hubbard U HgMoPtO2, relaxed; SG = No. 123; total magnetic moment = 3.42 Bohr magnetons per cell; uncorrected energy = -3.7711 eV per atom
1.0
-1.124 -0.841 3.926
1.831 -4.894 -0.524
3.743 1.257 1.341
O Hg Pt Mo
2 1 1 1
Direct
0.000 0.000 0.500 O
0.500 0.000 0.000 O
0.000 0.000 0.000 Hg
0.000 0.500 0.000 Pt
0.500 0.500 0.500 Mo